# BOs3O | Alexandria via LeMat-Bulk | meta-GGA SCAN | PBEsol geometry
# - calculated density (g cm⁻³) = 15.14
# - electronic total energy (eV/atom) = -44.5010
# - DOS(E_F) (states/eV/atom) = 0.46
data_BOs3O
_space_group_name_H-M_alt 'P m -3 m'
_space_group_IT_number 221
_space_group_name_Hall '-P 4 2 3'
_cell_length_a 4.032
_cell_length_b 4.032
_cell_length_c 4.032
_cell_angle_alpha 90.00
_cell_angle_beta 90.00
_cell_angle_gamma 90.00
loop_
_atom_site_label
_atom_site_type_symbol
_atom_site_fract_x
_atom_site_fract_y
_atom_site_fract_z
B1 B 0.000 0.000 0.000
Os1 Os 0.000 0.000 0.500
O1 O 0.500 0.500 0.500